(1)
## MgBiIO2 (PBE)

Data for a geometry-optimized MgBiIO2 structure.

```
data_MgBiIO2
_chemical_formula_sum 'Mg1 Bi1 I1 O2'
_cell_length_a 4.346
_cell_length_b 4.346
_cell_length_c 6.646
_cell_angle_alpha 90.00
_cell_angle_beta 90.00
_cell_angle_gamma 90.00
_space_group_name_H-M_alt 'P 1'
_space_group_IT_number 1
_space_group_name_Hall 'P 1'
loop_
_atom_site_label
_atom_site_fract_x
_atom_site_fract_y
_atom_site_fract_z
Mg1 0.000 0.000 0.000
Bi1 0.500 0.500 0.500
I1 0.500 0.500 0.000
O1 0.000 0.500 0.500
O2 0.500 0.000 0.500
```

Results
VASP energy ... -3.7891 eV per atom
Magnetization ... 0.00 μB per formula unit

---

(2)
## MgBiI2O (PBE)

Data for a geometry-optimized MgBiI2O structure.

```
data_MgBiI2O
_chemical_formula_sum 'Mg1 Bi1 I2 O1'
_cell_length_a 5.949
_cell_length_b 5.949
_cell_length_c 3.773
_cell_angle_alpha 90.00
_cell_angle_beta 90.00
_cell_angle_gamma 90.00
_space_group_name_H-M_alt 'P 1'
_space_group_IT_number 1
_space_group_name_Hall 'P 1'
loop_
_atom_site_label
_atom_site_fract_x
_atom_site_fract_y
_atom_site_fract_z
Mg1 0.000 0.000 0.000
Bi1 0.500 0.500 0.500
I1 0.000 0.500 0.000
I2 0.500 0.000 0.000
O1 0.000 0.000 0.500
```

Results
Energy above the lowest structure with this stoichiometry ... 0.0 kJ/mol of atoms
Magnetization ... 0.00 μB per formula unit

---

(3)
## MgBiIO2 (PBE)

Data for a geometry-optimized MgBiIO2 structure.

```
data_MgBiIO2
_chemical_formula_sum 'Mg1 Bi1 I1 O2'
_cell_length_a 4.301
_cell_length_b 4.301
_cell_length_c 5.282
_cell_angle_alpha 90.00
_cell_angle_beta 90.00
_cell_angle_gamma 90.00
_space_group_name_H-M_alt 'P 1'
_space_group_IT_number 1
_space_group_name_Hall 'P 1'
loop_
_atom_site_label
_atom_site_fract_x
_atom_site_fract_y
_atom_site_fract_z
Mg1 0.000 0.000 0.000
Bi1 0.500 0.500 0.500
I1 0.000 0.000 0.500
O1 0.000 0.500 0.000
O2 0.500 0.000 0.000
```

Results
VASP energy ... -3.7438 eV per atom
Magnetization ... 0.00 μB per formula unit

---

(4)
## RbMgBiI2 (PBE)

Data for a geometry-optimized RbMgBiI2 structure.

```
data_RbMgBiI2
_chemical_formula_sum 'Rb1 Mg1 Bi1 I2'
_cell_length_a 6.683
_cell_length_b 6.683
_cell_length_c 6.653
_cell_angle_alpha 90.00
_cell_angle_beta 90.00
_cell_angle_gamma 90.00
_space_group_name_H-M_alt 'P 1'
_space_group_IT_number 1
_space_group_name_Hall 'P 1'
loop_
_atom_site_label
_atom_site_fract_x
_atom_site_fract_y
_atom_site_fract_z
Rb1 0.000 0.000 0.000
Mg1 0.000 0.000 0.500
Bi1 0.500 0.500 0.500
I1 0.000 0.500 0.000
I2 0.500 0.000 0.000
```

Results
VASP energy ... -1.5954 eV per atom
Magnetization ... 2.00 μB per formula unit

---

(5)
## MgBiSb2I (PBE)

Data for a geometry-optimized MgBiSb2I structure.

```
data_MgBiSb2I
_chemical_formula_sum 'Mg1 Bi1 Sb2 I1'
_cell_length_a 5.885
_cell_length_b 5.885
_cell_length_c 6.076
_cell_angle_alpha 90.00
_cell_angle_beta 90.00
_cell_angle_gamma 90.00
_space_group_name_H-M_alt 'P 1'
_space_group_IT_number 1
_space_group_name_Hall 'P 1'
loop_
_atom_site_label
_atom_site_fract_x
_atom_site_fract_y
_atom_site_fract_z
Mg1 0.000 0.000 0.000
Bi1 0.500 0.500 0.500
Sb1 0.000 0.500 0.500
Sb2 0.500 0.000 0.500
I1 0.500 0.500 0.000
```

Results
Energy above the lowest structure with this stoichiometry ... 26.5 kJ/mol of atoms
Magnetization ... 0.25 μB per formula unit

---

(6)
## MgBiSb2I (PBE)

Data for a geometry-optimized MgBiSb2I structure.

```
data_MgBiSb2I
_chemical_formula_sum 'Mg1 Bi1 Sb2 I1'
_cell_length_a 5.526
_cell_length_b 5.526
_cell_length_c 5.394
_cell_angle_alpha 90.00
_cell_angle_beta 90.00
_cell_angle_gamma 90.00
_space_group_name_H-M_alt 'P 1'
_space_group_IT_number 1
_space_group_name_Hall 'P 1'
loop_
_atom_site_label
_atom_site_fract_x
_atom_site_fract_y
_atom_site_fract_z
Mg1 0.000 0.000 0.000
Bi1 0.500 0.500 0.500
Sb1 0.000 0.500 0.000
Sb2 0.500 0.000 0.000
I1 0.000 0.000 0.500
```

Results
Energy above the lowest structure with this stoichiometry ... 0.0 kJ/mol of atoms
Magnetization ... 0.00 μB per formula unit